# SrZr2Al

A geometry-optimized SrZr2Al structure (PBE, Alexandria via LeMat-Bulk).

Cell lengths 5.888, 5.888, 3.099 Å; angles 90.00, 90.00, 113.13 degrees
Atoms (fractional coordinates):
Sr (0.000, 0.000, 0.000)
Zr (0.000, 0.500, 0.500)
Zr (0.500, 0.000, 0.500)
Al (0.500, 0.500, 0.000)

* space-group type: Cmmm (65)
* E_form: 0.390 eV per atom
* volume: 24.703 Å³/atom
* DOS at the Fermi energy: 4.42 states/eV/f.u.



# Sr2ZrAl

A geometry-optimized Sr2ZrAl structure (PBE, Alexandria via LeMat-Bulk).

Cell lengths 5.088, 7.210, 7.210 Å; angles 30.23, 90.00, 90.00 degrees
Atoms (fractional coordinates):
Sr (0.000, 0.000, 0.000)
Sr (0.500, 0.314, 0.314)
Zr (0.500, 0.608, 0.608)
Al (0.000, 0.705, 0.705)

* space-group type: Amm2 (38)
* E_form: 0.246 eV per atom
* volume: 33.294 Å³/atom
* DOS at the Fermi energy: 4.84 states/eV/f.u.



Look up the E_form of the second one. 0.246 eV per atom



What is the E_form in the first record? 0.390 eV per atom



E_form of number 1 (SrZr2Al)? 0.390 eV per atom



Which value of E_form does entry 1 give? 0.390 eV per atom